Entry from Alexandria: crystalline Dy5Tl2Sb at its relaxed geometry (PBE-GGA).

Energy relative to the elements, uncorrected = -0.466 eV per atom
ρ = 9.8 Mg/m³

Lattice parameters (Å, degrees): 8.401 8.401 12.957 90.00 90.00 90.00
Space group I4/mcm (No. 140)
Symmetry-distinct sites (fractional):
Dy  0.000  0.000  0.000 (multiplicity 4)
Dy  0.153  0.347  0.151 (multiplicity 16)
Tl  0.147  0.353  0.500 (multiplicity 8)
Sb  0.000  0.000  0.250 (multiplicity 4)